Record 1
TmIO: relaxed, PBE-GGA.

```
data_TmIO
_chemical_formula_sum 'Tm2 I2 O2'
_symmetry_space_group_name_H-M 'P m m n'
_symmetry_Int_Tables_number 59
_cell_length_a 3.8810
_cell_length_b 4.1354
_cell_length_c 9.7590
_cell_angle_alpha 90.00
_cell_angle_beta 90.00
_cell_angle_gamma 90.00
loop_
_symmetry_equiv_pos_as_xyz
'x,y,z'
'-x,-y,-z'
'-x+1/2,-y+1/2,z'
'x+1/2,y+1/2,-z'
'x+1/2,-y,-z'
'-x+1/2,y,z'
'-x,y+1/2,-z'
'x,-y+1/2,z'
loop_
_atom_site_label
_atom_site_type_symbol
_atom_site_fract_x
_atom_site_fract_y
_atom_site_fract_z
Tm1 Tm 0.2500 0.2500 0.1001
I1 I 0.2500 0.7500 0.6650
O1 O 0.2500 0.7500 0.0205
```

Properties
The volume is 26.1 A^3/atom. Its final energy is -6.35 eV/atom.

Record 2
TmI2O6: relaxed, PBE-GGA.

```
data_TmI2O6
_chemical_formula_sum 'Tm2 I4 O12'
_symmetry_space_group_name_H-M 'P 1 21 1'
_symmetry_Int_Tables_number 4
_symmetry_space_group_name_Hall 'P 2yb'
_cell_length_a 5.7511
_cell_length_b 5.1803
_cell_length_c 9.1412
_cell_angle_alpha 90.00
_cell_angle_beta 91.54
_cell_angle_gamma 90.00
loop_
_atom_site_label
_atom_site_type_symbol
_atom_site_fract_x
_atom_site_fract_y
_atom_site_fract_z
Tm1 Tm 0.1986 0.0000 0.2329
I1 I 0.2735 0.4669 0.5606
I2 I 0.2963 0.9460 0.8924
O1 O 0.0117 0.2701 0.6045
O2 O 0.1381 0.6868 0.7473
O3 O 0.1809 0.7369 0.0419
O4 O 0.3436 0.2146 0.0447
O5 O 0.3561 0.2537 0.4011
O6 O 0.4760 0.2941 0.6887
```

Properties
The volume is 15.1 A^3/atom. Its final energy is -5.28 eV/atom.

Record 3
TmIO: relaxed, PBE-GGA.

```
data_TmIO
_chemical_formula_sum 'Tm2 I2 O2'
_symmetry_space_group_name_H-M 'P 4/n m m'
_symmetry_Int_Tables_number 129
_cell_length_a 3.8715
_cell_length_b 3.8715
_cell_length_c 9.0721
_cell_angle_alpha 90.00
_cell_angle_beta 90.00
_cell_angle_gamma 90.00
loop_
_symmetry_equiv_pos_as_xyz
'x,y,z'
'-x,-y,-z'
'-y+1/2,x,z'
'y+1/2,-x,-z'
'-x+1/2,-y+1/2,z'
'x+1/2,y+1/2,-z'
'y,-x+1/2,z'
'-y,x+1/2,-z'
'x+1/2,-y,-z'
'-x+1/2,y,z'
'-y,-x,-z'
'y,x,z'
'-x,y+1/2,-z'
'x,-y+1/2,z'
'y+1/2,x+1/2,-z'
'-y+1/2,-x+1/2,z'
loop_
_atom_site_label
_atom_site_type_symbol
_atom_site_fract_x
_atom_site_fract_y
_atom_site_fract_z
Tm1 Tm 0.2500 0.2500 0.1179
I1 I 0.2500 0.2500 0.6731
O1 O 0.2500 0.7500 0.0000
```

Properties
The volume is 22.7 A^3/atom. Its final energy is -6.38 eV/atom.

Record 4
ZnI2O8: relaxed, PBE-GGA.

```
data_ZnI2O8
_chemical_formula_sum 'Zn3 I6 O24'
_symmetry_space_group_name_H-M 'R -3'
_symmetry_Int_Tables_number 148
_symmetry_space_group_name_Hall '-R 3'
_cell_length_a 4.9655
_cell_length_b 4.9655
_cell_length_c 21.3678
_cell_angle_alpha 90.00
_cell_angle_beta 90.00
_cell_angle_gamma 120.00
loop_
_atom_site_label
_atom_site_type_symbol
_atom_site_fract_x
_atom_site_fract_y
_atom_site_fract_z
Zn1 Zn 0.0000 0.0000 0.0000
I1 I 0.0000 0.0000 0.2451
O1 O 0.0000 0.0000 0.1623
O2 O 0.0012 0.3270 0.6092
```

Properties
The volume is 13.8 A^3/atom. Its final energy is -4.20 eV/atom.

Record 5
OsI4: relaxed, PBE-GGA.

```
data_OsI4
_chemical_formula_sum 'Os4 I16'
_symmetry_space_group_name_H-M 'C 1 2/c 1'
_symmetry_Int_Tables_number 15
_symmetry_space_group_name_Hall '-C 2yc'
_cell_length_a 13.4623
_cell_length_b 6.2028
_cell_length_c 12.2755
_cell_angle_alpha 90.00
_cell_angle_beta 116.60
_cell_angle_gamma 90.00
loop_
_atom_site_label
_atom_site_type_symbol
_atom_site_fract_x
_atom_site_fract_y
_atom_site_fract_z
Os1 Os 0.0000 0.2344 0.2500
I1 I 0.1224 0.0117 0.4332
I2 I 0.1263 0.4660 0.1968
```

Properties
The volume is 45.8 A^3/atom. Its final energy is -3.16 eV/atom. The energy above the most stable polymorph in this dataset is 16.58 kJ/mol of atoms.

Record 6
OsI4: relaxed, PBE-GGA.

```
data_OsI4
_chemical_formula_sum 'Os8 I32'
_symmetry_space_group_name_H-M 'C 1 2/c 1'
_symmetry_Int_Tables_number 15
_symmetry_space_group_name_Hall '-C 2yc'
_cell_length_a 11.4938
_cell_length_b 11.5700
_cell_length_c 12.5489
_cell_angle_alpha 90.00
_cell_angle_beta 115.74
_cell_angle_gamma 90.00
loop_
_atom_site_label
_atom_site_type_symbol
_atom_site_fract_x
_atom_site_fract_y
_atom_site_fract_z
Os1 Os 0.0671 0.1271 0.1243
I1 I 0.0512 0.3544 0.1096
I2 I 0.0587 0.1099 0.6127
I3 I 0.1634 0.1190 0.3605
I4 I 0.1994 0.3752 0.8650
```

Properties
The volume is 37.6 A^3/atom. Its final energy is -3.33 eV/atom. The energy above the most stable polymorph in this dataset is 0.63 kJ/mol of atoms.